{"formula": "NpMn2CuO8", "functional": "PBE+U", "state": "optimized geometry", "e_tot_ev_per_atom": -7.356, "sg": "No. 119", "cell": [[-0.960, -0.580, 5.731], [2.093, -4.980, -2.218], [3.903, 4.258, -0.858]], "species": ["Np", "Mn", "Mn", "Cu", "O", "O", "O", "O", "O", "O", "O", "O"], "fractional_positions": [[0.000, 0.000, 0.000], [0.750, 0.250, 0.500], [0.500, 0.500, 0.000], [0.250, 0.750, 0.500], [0.330, 0.047, 0.283], [0.334, 0.527, 0.193], [0.334, 0.142, 0.807], [0.765, 0.047, 0.717], [0.858, 0.666, 0.193], [0.953, 0.235, 0.283], [0.953, 0.670, 0.717], [0.473, 0.666, 0.807]]}